AlSbMoO6 | GGA+U | relaxed

Results
The uncorrected energy comes out at -6.898 eV per atom. The value obtained for the calculated volume is 99 Å³/f.u. Its total magnetization is 2.00 μB/f.u.

Cell and atoms, written as CIF:
```
data_AlSbMoO6
_cell_length_a 5.0331
_cell_length_b 5.0331
_cell_length_c 9.0209
_cell_angle_alpha 90.00
_cell_angle_beta 90.00
_cell_angle_gamma 120.00
_symmetry_space_group_name_H-M 'P -3 1 c'
_symmetry_Int_Tables_number 163
_symmetry_space_group_name_Hall '-P 3 2c'
loop_
_atom_site_label
_atom_site_fract_x
_atom_site_fract_y
_atom_site_fract_z
_atom_site_occupancy
Al1 0.3333 0.6667 0.2500 1
Sb1 0.3333 0.6667 0.7500 1
Mo1 0.0000 0.0000 0.0000 1
O1 0.0132 0.3485 0.1332 1
```